## a
DFT (PBE) results for a geometry-optimized AgSbS2N structure.

**Total magnetization**: 0.00 μB/f.u.

The structure in extended XYZ format:
```
5
Lattice="5.0922 0.0000 0.0000 0.0000 5.0922 0.0000 0.0000 0.0000 3.9484" Properties=species:S:1:pos:R:3 pbc="T T T"
Ag 0.0000 0.0000 0.0000
Sb 2.5461 2.5461 1.9742
S 0.0000 2.5461 1.9742
S 2.5461 0.0000 1.9742
N 2.5461 2.5461 0.0000
```



## b
DFT (PBE) results for a geometry-optimized AgSbS2N structure.

**Total magnetization**: 1.68 μB/f.u.

The structure in extended XYZ format:
```
5
Lattice="4.9935 0.0000 0.0000 0.0000 4.9935 0.0000 0.0000 0.0000 3.9636" Properties=species:S:1:pos:R:3 pbc="T T T"
Ag 0.0000 0.0000 0.0000
Sb 2.4968 2.4968 1.9818
S 0.0000 2.4968 0.0000
S 2.4968 0.0000 0.0000
N 0.0000 0.0000 1.9818
```



a is preferred energetically. Next in line: 15.9 kJ/mol of atoms higher.



## a
DFT (PBE) results for a geometry-optimized AgSeS2N structure.

**Total magnetization**: 1.80 μB/f.u.

The structure in extended XYZ format:
```
5
Lattice="4.9633 0.0000 0.0000 0.0000 4.9633 0.0000 0.0000 0.0000 3.9820" Properties=species:S:1:pos:R:3 pbc="T T T"
Ag 0.0000 0.0000 0.0000
Se 2.4817 2.4817 1.9910
S 0.0000 2.4817 0.0000
S 2.4817 0.0000 0.0000
N 0.0000 0.0000 1.9910
```



## b
DFT (PBE) results for a geometry-optimized AgSeS2N structure.

**Total magnetization**: 1.26 μB/f.u.

The structure in extended XYZ format:
```
5
Lattice="4.9620 0.0000 0.0000 0.0000 4.9620 0.0000 0.0000 0.0000 3.6948" Properties=species:S:1:pos:R:3 pbc="T T T"
Ag 0.0000 0.0000 0.0000
Se 2.4810 2.4810 1.8474
S 0.0000 2.4810 1.8474
S 2.4810 0.0000 1.8474
N 2.4810 2.4810 0.0000
```



b is preferred energetically. Next in line: 32.2 kJ/mol of atoms higher.



## a
DFT (PBE) results for a geometry-optimized AgSeSN2 structure.

**Total magnetization**: 3.94 μB/f.u.

The structure in extended XYZ format:
```
5
Lattice="3.9686 0.0000 0.0000 0.0000 3.9686 0.0000 0.0000 0.0000 6.2773" Properties=species:S:1:pos:R:3 pbc="T T T"
Ag 0.0000 0.0000 0.0000
Se 1.9843 1.9843 3.1386
S 0.0000 0.0000 3.1386
N 0.0000 1.9843 0.0000
N 1.9843 0.0000 0.0000
```



## b
DFT (PBE) results for a geometry-optimized AgSeSN2 structure.

**Total magnetization**: 0.74 μB/f.u.

The structure in extended XYZ format:
```
5
Lattice="3.5482 0.0000 0.0000 0.0000 3.5482 0.0000 0.0000 0.0000 6.8911" Properties=species:S:1:pos:R:3 pbc="T T T"
Ag 0.0000 0.0000 0.0000
Se 1.7741 1.7741 0.0000
S 1.7741 1.7741 3.4456
N 0.0000 1.7741 3.4456
N 1.7741 0.0000 3.4456
```



b is preferred energetically. Next in line: 49.2 kJ/mol of atoms higher.



## a
DFT (PBE) results for a geometry-optimized SiAgS2N structure.

**Total magnetization**: 0.00 μB/f.u.

The structure in extended XYZ format:
```
5
Lattice="4.9385 0.0000 0.0000 0.0000 4.9385 0.0000 0.0000 0.0000 3.2492" Properties=species:S:1:pos:R:3 pbc="T T T"
Si 0.0000 0.0000 0.0000
Ag 2.4693 2.4693 1.6246
S 0.0000 2.4693 0.0000
S 2.4693 0.0000 0.0000
N 0.0000 0.0000 1.6246
```



## b
DFT (PBE) results for a geometry-optimized SiAgS2N structure.

**Total magnetization**: 1.88 μB/f.u.

The structure in extended XYZ format:
```
5
Lattice="4.9548 0.0000 0.0000 0.0000 4.9548 0.0000 0.0000 0.0000 3.9628" Properties=species:S:1:pos:R:3 pbc="T T T"
Si 0.0000 0.0000 0.0000
Ag 2.4774 2.4774 1.9814
S 0.0000 2.4774 1.9814
S 2.4774 0.0000 1.9814
N 2.4774 2.4774 0.0000
```



a is preferred energetically. Next in line: 98.5 kJ/mol of atoms higher.



## a
DFT (PBE) results for a geometry-optimized Sr2AgSN structure.

**Total magnetization**: 0.00 μB/f.u.

The structure in extended XYZ format:
```
5
Lattice="5.7577 0.0000 0.0000 0.0000 5.7577 0.0000 0.0000 0.0000 3.9094" Properties=species:S:1:pos:R:3 pbc="T T T"
Sr 0.0000 2.8788 0.0000
Sr 2.8788 0.0000 0.0000
Ag 0.0000 0.0000 0.0000
S 2.8788 2.8788 1.9547
N 0.0000 0.0000 1.9547
```



## b
DFT (PBE) results for a geometry-optimized Sr2AgSN structure.

**Total magnetization**: 0.79 μB/f.u.

The structure in extended XYZ format:
```
5
Lattice="5.9108 0.0000 0.0000 0.0000 5.9108 0.0000 0.0000 0.0000 4.5384" Properties=species:S:1:pos:R:3 pbc="T T T"
Sr 0.0000 2.9554 0.0000
Sr 2.9554 0.0000 0.0000
Ag 0.0000 0.0000 0.0000
S 0.0000 0.0000 2.2692
N 2.9554 2.9554 2.2692
```



a is preferred energetically. Next in line: 73.3 kJ/mol of atoms higher.



## a
DFT (PBE) results for a geometry-optimized SrAgS2N structure.

**Total magnetization**: 1.76 μB/f.u.

The structure in extended XYZ format:
```
5
Lattice="5.0590 0.0000 0.0000 0.0000 5.0590 0.0000 0.0000 0.0000 4.1224" Properties=species:S:1:pos:R:3 pbc="T T T"
Sr 0.0000 0.0000 0.0000
Ag 2.5295 2.5295 2.0612
S 0.0000 2.5295 2.0612
S 2.5295 0.0000 2.0612
N 2.5295 2.5295 0.0000
```



## b
DFT (PBE) results for a geometry-optimized SrAgS2N structure.

**Total magnetization**: 1.25 μB/f.u.

The structure in extended XYZ format:
```
5
Lattice="5.5957 0.0000 0.0000 0.0000 5.5957 0.0000 0.0000 0.0000 4.5485" Properties=species:S:1:pos:R:3 pbc="T T T"
Sr 0.0000 0.0000 0.0000
Ag 2.7979 2.7979 2.2742
S 0.0000 2.7979 0.0000
S 2.7979 0.0000 0.0000
N 0.0000 0.0000 2.2742
```



a is preferred energetically. Next in line: 96.3 kJ/mol of atoms higher.



## a
DFT (PBE) results for a geometry-optimized TcAgS2N structure.

**Total magnetization**: 0.00 μB/f.u.

The structure in extended XYZ format:
```
5
Lattice="4.8236 0.0000 0.0000 0.0000 4.8236 0.0000 0.0000 0.0000 3.7151" Properties=species:S:1:pos:R:3 pbc="T T T"
Tc 0.0000 0.0000 0.0000
Ag 2.4118 2.4118 1.8576
S 0.0000 2.4118 0.0000
S 2.4118 0.0000 0.0000
N 0.0000 0.0000 1.8576
```



## b
DFT (PBE) results for a geometry-optimized TcAgS2N structure.

**Total magnetization**: 2.72 μB/f.u.

The structure in extended XYZ format:
```
5
Lattice="4.9349 0.0000 0.0000 0.0000 4.9349 0.0000 0.0000 0.0000 3.9712" Properties=species:S:1:pos:R:3 pbc="T T T"
Tc 0.0000 0.0000 0.0000
Ag 2.4674 2.4674 1.9856
S 0.0000 2.4674 1.9856
S 2.4674 0.0000 1.9856
N 2.4674 2.4674 0.0000
```



a is preferred energetically. Next in line: 123.2 kJ/mol of atoms higher.



## a
DFT (PBE) results for a geometry-optimized TcAgSN2 structure.

**Total magnetization**: 0.00 μB/f.u.

The structure in extended XYZ format:
```
5
Lattice="3.8036 0.0000 0.0000 0.0000 3.8036 0.0000 0.0000 0.0000 5.2252" Properties=species:S:1:pos:R:3 pbc="T T T"
Tc 0.0000 0.0000 0.0000
Ag 1.9018 1.9018 2.6126
S 0.0000 0.0000 2.6126
N 0.0000 1.9018 0.0000
N 1.9018 0.0000 0.0000
```



## b
DFT (PBE) results for a geometry-optimized TcAgSN2 structure.

**Total magnetization**: 7.48 μB/f.u.

The structure in extended XYZ format:
```
5
Lattice="3.9035 0.0000 0.0000 0.0000 3.9035 0.0000 0.0000 0.0000 6.3640" Properties=species:S:1:pos:R:3 pbc="T T T"
Tc 0.0000 0.0000 0.0000
Ag 1.9517 1.9517 3.1820
S 1.9517 1.9517 0.0000
N 0.0000 1.9517 3.1820
N 1.9517 0.0000 3.1820
```



a is preferred energetically. Next in line: 158.9 kJ/mol of atoms higher.